[1]
VASP calculation (PBE-GGA) on a relaxed structure of MnBe2Os.

Properties
Its energy of formation is -0.112 eV per atom. The calculation puts the total energy at -7.07 eV per atom.

Cell lengths 3.8214, 3.8214, 2.9300 Å; angles 90.00, 90.00, 90.00 degrees
With the nearest neighbours (Å) after each atom.
Space group P4/mmm (No. 123)
One atom of each set of equivalent atoms:
Mn: 0.0000 0.0000 0.0000 [1 per cell]  8 Be 2.41
Be: 0.0000 0.5000 0.5000 [2 per cell]  4 Mn 2.41, 4 Os 2.41
Os: 0.5000 0.5000 0.0000 [1 per cell]  8 Be 2.41

=====

[2]
VASP calculation (PBE-GGA) on a relaxed structure of YBe3.

Properties
Its energy of formation is 0.758 eV per atom. The relative energy among the computed polymorphs comes out at 19.20 kcal/mol of atoms. The calculation puts the total energy at -3.65 eV per atom.

Cell lengths 8.5246, 8.5246, 2.9423 Å; angles 90.00, 90.00, 120.00 degrees
With the nearest neighbours (Å) after each atom.
Space group R-3m (No. 166, hexagonal axes)
One atom of each set of equivalent atoms:
Y: 0.0000 0.0000 0.0000 [3 per cell]  6 Be 2.65, 2 Y 2.94
Be: 0.0000 0.5000 0.0000 [9 per cell]  6 Be 2.65-2.94, 2 Y 2.65

=====

[3]
VASP calculation (PBE-GGA) on a relaxed structure of Cd3GaPt.

Properties
Its energy of formation is 0.086 eV per atom. The relative energy among the computed polymorphs comes out at 5.60 kcal/mol of atoms. The calculation puts the total energy at -2.28 eV per atom.

Cell lengths 5.2183, 5.2183, 5.2183 Å; angles 90.00, 90.00, 90.00 degrees
With the nearest neighbours (Å) after each atom.
Space group Pm-3m (No. 221)
One atom of each set of equivalent atoms:
Cd: 0.0000 0.0000 0.5000 [3 per cell]  2 Pt 2.61
Ga: 0.5000 0.5000 0.5000 [1 per cell]  12 Cd 3.69
Pt: 0.0000 0.0000 0.0000 [1 per cell]  6 Cd 2.61

=====

[4]
VASP calculation (PBE-GGA) on a relaxed structure of NdSc5Hg4.

Properties
Its energy of formation is -0.333 eV per atom. The calculation puts the total energy at -4.10 eV per atom.

Cell lengths 3.5223, 3.5223, 18.8112 Å; angles 90.00, 90.00, 90.00 degrees
With the nearest neighbours (Å) after each atom.
Space group P4/mmm (No. 123)
One atom of each set of equivalent atoms:
Nd: 0.0000 0.0000 0.0000 [1 per cell]  8 Sc 3.45, 4 Nd 3.52
Sc: 0.5000 0.5000 0.1268 [2 per cell]  4 Hg 3.01
Sc: 0.5000 0.5000 0.3139 [2 per cell]  8 Hg 3.03-3.09
Sc: 0.5000 0.5000 0.5000 [1 per cell]  8 Hg 3.05
Hg: 0.0000 0.0000 0.2170 [2 per cell]  8 Sc 3.01-3.09
Hg: 0.0000 0.0000 0.4061 [2 per cell]  8 Sc 3.03-3.05

=====

[5]
VASP calculation (PBE-GGA) on a relaxed structure of TbEr2Os.

Properties
Its energy of formation is -0.277 eV per atom. The relative energy among the computed polymorphs comes out at 0.00 kcal/mol of atoms. The calculation puts the total energy at -6.52 eV per atom.

Cell lengths 7.3944, 8.9771, 6.2961 Å; angles 90.00, 90.00, 90.00 degrees
With the nearest neighbours (Å) after each atom.
Space group Pnma (No. 62)
One atom of each set of equivalent atoms:
Tb: 0.0387 0.2500 0.1274 [4 per cell]  2 Os 2.76-2.86
Er: 0.1742 0.0629 0.6654 [8 per cell]  3 Os 2.84-3.13
Os: 0.1174 0.7500 0.4576 [4 per cell]  2 Tb 2.76-2.86, 4 Er 2.84-2.93

=====

[6]
VASP calculation (PBE-GGA) on a relaxed structure of Re3HgCl.

Properties
The relative energy among the computed polymorphs comes out at 0.00 kcal/mol of atoms. The calculation puts the total energy at -6.07 eV per atom.

Cell lengths 4.4071, 4.4071, 4.4071 Å; angles 90.00, 90.00, 90.00 degrees
With the nearest neighbours (Å) after each atom.
Space group Pm-3m (No. 221)
One atom of each set of equivalent atoms:
Re: 0.0000 0.0000 0.5000 [3 per cell]  2 Cl 2.20
Hg: 0.5000 0.5000 0.5000 [1 per cell]  12 Re 3.12
Cl: 0.0000 0.0000 0.0000 [1 per cell]  6 Re 2.20

=====

[7]
VASP calculation (PBE-GGA) on a relaxed structure of Cs2NiTeS4.

Properties
The calculation puts the total energy at -3.78 eV per atom.

Cell lengths 4.9238, 16.1851, 24.9950 Å; angles 90.00, 90.00, 90.00 degrees
With the nearest neighbours (Å) after each atom.
Space group Fddd (No. 70, origin choice 2)
One atom of each set of equivalent atoms:
Cs: 0.1250 0.1250 0.3023 [16 per cell]  6 S 3.50-3.62
Ni: 0.1250 0.1250 0.6250 [8 per cell]  4 S 2.41, 2 Te 2.46
Te: 0.1250 0.1250 0.1250 [8 per cell]  2 Ni 2.46, 4 S 2.50
S: 0.1070 0.2824 0.8151 [32 per cell]  1 Ni 2.41, 1 Te 2.50

=====

[8]
VASP calculation (PBE-GGA) on a relaxed structure of Ba2DyHoO5.

Properties
The calculation puts the total energy at -7.25 eV per atom.

Cell lengths 3.6828, 14.4154, 12.3382 Å; angles 90.00, 90.00, 90.00 degrees
With the nearest neighbours (Å) after each atom.
Space group Cmc2_1 (No. 36)
One atom of each set of equivalent atoms:
Ba: 0.0000 0.0911 0.0000 [4 per cell]  6 O 2.60-2.85
Ba: 0.0000 0.1503 0.6159 [4 per cell]  5 O 2.71-2.81
Dy: 0.0000 0.4675 0.7788 [4 per cell]  5 O 2.16-2.37
Ho: 0.0000 0.2253 0.3468 [4 per cell]  6 O 2.23-2.40
O: 0.0000 0.0641 0.3643 [4 per cell]  2 Dy 2.17, 1 Ho 2.33
O: 0.0000 0.2701 0.9711 [4 per cell]  2 Ho 2.40, 1 Ba 2.60
O: 0.0000 0.3070 0.7379 [4 per cell]  2 Ho 2.33, 1 Dy 2.37
O: 0.0000 0.3789 0.3273 [4 per cell]  1 Ho 2.23, 1 Dy 2.29
O: 0.0000 0.4920 0.1103 [4 per cell]  1 Dy 2.16

=====

[9]
VASP calculation (PBE-GGA) on a relaxed structure of Hf5SnH.

Properties
The calculation puts the total energy at -7.99 eV per atom.

Cell lengths 10.9162, 7.7191, 7.5117 Å; angles 90.00, 109.64, 90.00 degrees
With the nearest neighbours (Å) after each atom.
Space group C2/c (No. 15)
One atom of each set of equivalent atoms:
Hf: 0.0000 0.0620 0.2500 [4 per cell]  2 H 1.94
Hf: 0.1069 0.2555 0.9569 [8 per cell]  1 H 2.37
Hf: 0.2128 0.1025 0.6416 [8 per cell]  1 H 2.34
Sn: 0.0000 0.4255 0.2500 [4 per cell]  7 Hf 2.81-3.11
H: 0.0000 0.0000 0.0000 [4 per cell]  2 Hf 1.94

=====

[10]
VASP calculation (PBE-GGA) on a relaxed structure of CaHf2Zn2.

Properties
Its energy of formation is 0.037 eV per atom. The relative energy among the computed polymorphs comes out at 0.00 kcal/mol of atoms. The calculation puts the total energy at -4.85 eV per atom.

Cell lengths 8.2653, 8.2653, 3.1406 Å; angles 90.00, 90.00, 90.00 degrees
With the nearest neighbours (Å) after each atom.
Space group P4/mbm (No. 127)
One atom of each set of equivalent atoms:
Ca: 0.0000 0.0000 0.0000 [2 per cell]  4 Zn 3.11, 2 Ca 3.14
Hf: 0.1403 0.3597 0.5000 [4 per cell]  6 Zn 2.83-2.93, 2 Hf 3.14
Zn: 0.1584 0.6584 0.0000 [4 per cell]  6 Hf 2.83-2.93, 2 Ca 3.11, 2 Zn 3.14

=====

[11]
VASP calculation (PBE-GGA) on a relaxed structure of Al3SN.

Properties
The relative energy among the computed polymorphs comes out at 0.00 kcal/mol of atoms. The calculation puts the total energy at -4.55 eV per atom.

Cell lengths 4.2118, 4.2118, 4.2118 Å; angles 90.00, 90.00, 90.00 degrees
With the nearest neighbours (Å) after each atom.
Space group Pm-3m (No. 221)
One atom of each set of equivalent atoms:
Al: 0.0000 0.0000 0.5000 [3 per cell]  2 N 2.11
S: 0.5000 0.5000 0.5000 [1 per cell]  12 Al 2.98
N: 0.0000 0.0000 0.0000 [1 per cell]  6 Al 2.11

=====

[12]
VASP calculation (PBE-GGA) on a relaxed structure of TcHg.

Properties
Its energy of formation is 0.517 eV per atom. The relative energy among the computed polymorphs comes out at 6.32 kcal/mol of atoms. The calculation puts the total energy at -4.82 eV per atom.

Cell lengths 4.2443, 4.2443, 15.1546 Å; angles 90.00, 90.00, 120.00 degrees
With the nearest neighbours (Å) after each atom.
Space group R-3m (No. 166, hexagonal axes)
One atom of each set of equivalent atoms:
Tc: 0.0000 0.0000 0.1757 [6 per cell]  3 Tc 2.47
Hg: 0.0000 0.0000 0.3854 [6 per cell]  3 Hg 2.91, 7 Tc 2.93-3.18